# 1
5
Lattice="-1.448 -2.964 2.560 3.003 0.912 2.754 -2.514 2.796 1.815" Properties=species:S:1:pos:R:3 comment="meta-GGA SCAN Ta3TiH, PBEsol geometry" space_group=Pm-3m pbc="T T T"
H 0.000 0.000 0.000
Ti -0.479 0.372 3.565
Ta 1.502 0.456 1.377
Ta -1.257 1.398 0.908
Ta -0.724 -1.482 1.280


# 2
5
Lattice="4.094 0.000 0.000 0.000 4.094 0.000 0.000 0.000 4.094" Properties=species:S:1:pos:R:3 comment="meta-GGA SCAN TaTi3H, PBEsol geometry" polymorph_energy_mev_per_atom=0 space_group=Pm-3m pbc="T T T"
H 0.000 0.000 0.000
Ta 2.047 2.047 2.047
Ti 0.000 2.047 0.000
Ti 0.000 0.000 2.047
Ti 2.047 0.000 0.000


# 3
5
Lattice="3.250 0.000 0.000 0.000 3.250 0.000 -1.625 -1.625 5.171" Properties=species:S:1:pos:R:3 comment="meta-GGA SCAN TaTi2H2, PBEsol geometry" space_group=I4/mmm pbc="T T T"
H 0.000 1.625 2.586
H 1.625 0.000 2.586
Ta 0.000 0.000 0.000
Ti 0.000 0.000 3.573
Ti 1.625 1.625 1.598


Number 1: DFT total energy -218.7 eV per cell. Number 2: DFT total energy -118.4 eV per cell. Number 3: DFT total energy -106.7 eV per cell.